[1]
Na3Pt4, relaxed, DFT PBE; E above lowest polymorph = 214 meV per atom; M_tot = 0.0 μB/f.u.; space group = P6/mmm (191); energy relative to the elements = 0.21 eV per atom; D(E_F) = 6.6 states/eV/cell; V = 16.41 Å³ per atom
1.0
4.919 0.000 0.000
-2.459 4.260 0.000
0.000 0.000 5.483
Na Pt
3 4
Cartesian
-1.230 2.130 0.000 Na
2.459 0.000 0.000 Na
1.230 2.130 0.000 Na
0.000 0.000 1.481 Pt
0.000 0.000 4.003 Pt
0.000 2.840 2.742 Pt
2.459 1.420 2.742 Pt

=====

[2]
Na4Pt, relaxed, DFT PBE; E above lowest polymorph = 341 meV per atom; M_tot = 0.0 μB/f.u.; space group = I4/mmm (139); energy relative to the elements = 0.24 eV per atom; D(E_F) = 2.0 states/eV/cell; V = 26.05 Å³ per atom
1.0
-2.834 2.834 4.053
2.834 -2.834 4.053
2.834 2.834 -4.053
Na Pt
4 1
Cartesian
0.000 0.000 1.314 Na
2.834 0.000 2.027 Na
0.000 2.834 2.027 Na
0.000 0.000 6.792 Na
0.000 0.000 4.053 Pt

=====

[3]
Na3Pt, relaxed, DFT PBE; M_tot = 0.0 μB/f.u.; space group = Pm-3n (223); energy relative to the elements = -0.05 eV per atom; D(E_F) = 3.7 states/eV/cell; V = 22.32 Å³ per atom
1.0
5.631 0.000 0.000
0.000 5.631 0.000
0.000 0.000 5.631
Na Pt
6 2
Cartesian
0.000 1.408 2.816 Na
0.000 4.223 2.816 Na
1.408 2.816 0.000 Na
2.816 0.000 1.408 Na
2.816 0.000 4.223 Na
4.223 2.816 0.000 Na
0.000 0.000 0.000 Pt
2.816 2.816 2.816 Pt

=====

[4]
Na3Pt2, relaxed, DFT PBE; E above lowest polymorph = 109 meV per atom; M_tot = 0.0 μB/f.u.; space group = P-3m1 (164); energy relative to the elements = 0.02 eV per atom; D(E_F) = 3.2 states/eV/cell; V = 22.70 Å³ per atom
1.0
4.820 0.000 0.000
-2.410 4.174 0.000
0.000 0.000 5.642
Na Pt
3 2
Cartesian
0.000 0.000 0.000 Na
0.000 2.783 2.385 Na
2.410 1.391 3.258 Na
0.000 2.783 5.344 Pt
2.410 1.391 0.299 Pt

=====

[5]
NaPt4, relaxed, DFT PBE; E above lowest polymorph = 0 meV per atom; M_tot = 0.0 μB/f.u.; space group = I4/m (87); energy relative to the elements = -0.02 eV per atom; D(E_F) = 6.1 states/eV/cell; V = 15.89 Å³ per atom
1.0
-3.153 3.153 1.997
3.153 -3.153 1.997
3.153 3.153 -1.997
Na Pt
1 4
Cartesian
0.000 0.000 0.000 Na
3.813 1.234 0.000 Pt
1.234 2.494 0.000 Pt
1.919 0.659 1.997 Pt
-0.659 1.919 1.997 Pt

=====

[6]
Na3Pt5, relaxed, DFT PBE; E above lowest polymorph = 0 meV per atom; M_tot = 0.0 μB/f.u.; space group = Pmm2 (25); energy relative to the elements = -0.12 eV per atom; D(E_F) = 7.8 states/eV/cell; V = 16.58 Å³ per atom
1.0
2.782 0.000 0.000
0.000 9.687 0.000
0.000 0.000 4.921
Na Pt
3 5
Cartesian
0.000 0.000 0.000 Na
0.000 4.844 1.636 Na
1.391 4.844 4.077 Na
0.000 2.318 3.236 Pt
0.000 7.370 3.236 Pt
1.391 0.000 2.440 Pt
1.391 2.417 0.759 Pt
1.391 7.270 0.759 Pt

=====

[7]
Na3Pt, relaxed, DFT PBE; M_tot = 0.0 μB/f.u.; space group = Cmmm (65); energy relative to the elements = 0.04 eV per atom; D(E_F) = 1.4 states/eV/cell; V = 21.65 Å³ per atom
1.0
3.093 -4.619 0.000
3.093 4.619 0.000
0.000 0.000 3.031
Na Pt
3 1
Cartesian
0.000 0.000 0.000 Na
1.546 2.309 1.516 Na
1.546 -2.309 1.516 Na
3.093 0.000 0.000 Pt

=====

[8]
NaPt4, relaxed, DFT PBE; E above lowest polymorph = 191 meV per atom; M_tot = 0.0 μB/f.u.; space group = I4/mmm (139); energy relative to the elements = 0.17 eV per atom; D(E_F) = 5.3 states/eV/cell; V = 20.40 Å³ per atom
1.0
-2.323 2.323 4.724
2.323 -2.323 4.724
2.323 2.323 -4.724
Na Pt
1 4
Cartesian
0.000 0.000 0.000 Na
2.323 0.000 2.362 Pt
0.000 0.000 3.492 Pt
0.000 0.000 5.956 Pt
0.000 2.323 2.362 Pt

=====

[9]
Na4Pt, relaxed, DFT PBE; E above lowest polymorph = 148 meV per atom; M_tot = 0.0 μB/f.u.; space group = Pm-3m (221); energy relative to the elements = 0.05 eV per atom; D(E_F) = 2.0 states/eV/cell; V = 34.13 Å³ per atom
1.0
5.546 0.000 0.000
0.000 5.546 0.000
0.000 0.000 5.546
Na Pt
4 1
Cartesian
0.000 0.000 0.000 Na
0.000 2.773 2.773 Na
2.773 0.000 2.773 Na
2.773 2.773 0.000 Na
2.773 2.773 2.773 Pt

=====

[10]
Na3Pt, relaxed, DFT PBE; M_tot = 0.0 μB/f.u.; space group = Pm-3m (221); energy relative to the elements = 0.14 eV per atom; D(E_F) = 2.7 states/eV/cell; V = 43.12 Å³ per atom
1.0
5.566 0.000 0.000
0.000 5.566 0.000
0.000 0.000 5.566
Na Pt
3 1
Cartesian
0.000 0.000 2.783 Na
0.000 2.783 0.000 Na
2.783 0.000 0.000 Na
0.000 0.000 0.000 Pt

=====

[11]
Na3Pt4, relaxed, DFT PBE; E above lowest polymorph = 0 meV per atom; M_tot = 0.0 μB/f.u.; space group = I4/mmm (139); energy relative to the elements = -0.01 eV per atom; D(E_F) = 4.7 states/eV/cell; V = 22.85 Å³ per atom
1.0
-1.749 1.749 13.070
1.749 -1.749 13.070
1.749 1.749 -13.070
Na Pt
3 4
Cartesian
0.000 0.000 0.000 Na
0.000 0.000 8.095 Na
0.000 0.000 18.046 Na
0.000 0.000 2.964 Pt
0.000 0.000 10.894 Pt
0.000 0.000 15.247 Pt
0.000 0.000 23.176 Pt

=====

[12]
Na3Pt, relaxed, DFT PBE; M_tot = 0.0 μB/f.u.; space group = R-3m (166); energy relative to the elements = 0.02 eV per atom; D(E_F) = 1.2 states/eV/cell; V = 21.59 Å³ per atom
1.0
4.996 2.884 0.999
-4.996 2.884 0.999
0.000 -5.769 0.999
Na Pt
3 1
Cartesian
-2.498 -1.442 0.999 Na
-2.498 1.442 1.998 Na
0.000 2.884 0.999 Na
0.000 0.000 0.000 Pt

=====

[13]
NaPt6, relaxed, DFT PBE; M_tot = 2.3 μB/f.u.; space group = Im-3m (229); energy relative to the elements = 0.47 eV per atom; D(E_F) = 8.6 states/eV/cell; V = 25.20 Å³ per atom
1.0
-3.533 3.533 3.533
3.533 -3.533 3.533
3.533 3.533 -3.533
Na Pt
1 6
Cartesian
0.000 0.000 0.000 Na
3.533 1.766 0.000 Pt
3.533 0.000 1.766 Pt
1.766 3.533 0.000 Pt
1.766 0.000 3.533 Pt
0.000 3.533 1.766 Pt
0.000 1.766 3.533 Pt

=====

[14]
NaPt5, relaxed, DFT PBE; E above lowest polymorph = 160 meV per atom; M_tot = 0.0 μB/f.u.; space group = F-43m (216); energy relative to the elements = 0.03 eV per atom; D(E_F) = 8.4 states/eV/cell; V = 17.34 Å³ per atom
1.0
0.000 3.733 3.733
3.733 0.000 3.733
3.733 3.733 0.000
Na Pt
1 5
Cartesian
0.000 0.000 0.000 Na
4.664 2.801 2.801 Pt
1.866 1.866 1.866 Pt
2.801 4.664 2.801 Pt
2.801 2.801 4.664 Pt
4.664 4.664 4.664 Pt

=====

[15]
Na3Pt, relaxed, DFT PBE; M_tot = 0.0 μB/f.u.; space group = P2/m (10); energy relative to the elements = -0.01 eV per atom; D(E_F) = 1.4 states/eV/cell; V = 22.25 Å³ per atom
1.0
2.964 0.000 0.000
0.000 4.767 0.000
-0.443 0.000 6.300
Na Pt
3 1
Cartesian
0.000 0.000 0.000 Na
1.354 2.383 1.815 Na
1.167 2.383 4.484 Na
-0.221 0.000 3.150 Pt

=====

[16]
Na3Pt, relaxed, DFT PBE; M_tot = 0.0 μB/f.u.; space group = P4/mmm (123); energy relative to the elements = 0.00 eV per atom; D(E_F) = 1.3 states/eV/cell; V = 22.46 Å³ per atom
1.0
4.482 0.000 0.000
0.000 4.482 0.000
0.000 0.000 4.473
Na Pt
3 1
Cartesian
0.000 0.000 0.000 Na
0.000 2.241 2.237 Na
2.241 0.000 2.237 Na
2.241 2.241 0.000 Pt

=====

[17]
NaPt5, relaxed, DFT PBE; E above lowest polymorph = 91 meV per atom; M_tot = 0.0 μB/f.u.; space group = P4/mmm (123); energy relative to the elements = -0.04 eV per atom; D(E_F) = 9.6 states/eV/cell; V = 16.42 Å³ per atom
1.0
2.785 0.000 0.000
0.000 2.785 0.000
0.000 0.000 12.707
Na Pt
1 5
Cartesian
0.000 0.000 0.000 Na
0.000 0.000 4.347 Pt
0.000 0.000 8.360 Pt
1.392 1.392 2.349 Pt
1.392 1.392 6.354 Pt
1.392 1.392 10.358 Pt

=====

[18]
Na4Pt5, relaxed, DFT PBE; E above lowest polymorph = 0 meV per atom; M_tot = 0.0 μB/f.u.; space group = I4/mmm (139); energy relative to the elements = 0.00 eV per atom; D(E_F) = 4.1 states/eV/cell; V = 17.40 Å³ per atom
1.0
-4.474 4.474 1.956
4.474 -4.474 1.956
4.474 4.474 -1.956
Na Pt
4 5
Cartesian
2.837 0.000 0.000 Na
6.112 0.000 0.000 Na
0.000 2.837 0.000 Na
0.000 6.112 0.000 Na
0.000 0.000 0.000 Pt
2.994 2.994 0.000 Pt
1.480 -1.480 1.956 Pt
-1.480 1.480 1.956 Pt
1.480 1.480 1.956 Pt

=====

[19]
Na3Pt, relaxed, DFT PBE; M_tot = 0.0 μB/f.u.; space group = Immm (71); energy relative to the elements = -0.03 eV per atom; D(E_F) = 1.3 states/eV/cell; V = 28.01 Å³ per atom
1.0
-1.508 2.521 7.366
1.508 -2.521 7.366
1.508 2.521 -7.366
Na Pt
3 1
Cartesian
0.000 0.000 0.000 Na
1.508 0.000 4.898 Na
0.000 2.521 2.467 Na
0.000 0.000 7.366 Pt

=====

[20]
Na4Pt, relaxed, DFT PBE; E above lowest polymorph = 341 meV per atom; M_tot = 0.0 μB/f.u.; space group = Fd-3m (227); energy relative to the elements = 0.24 eV per atom; D(E_F) = 3.0 states/eV/cell; V = 35.99 Å³ per atom
1.0
0.000 5.646 5.646
5.646 0.000 5.646
5.646 5.646 0.000
Na Pt
8 2
Cartesian
8.616 5.499 5.499 Na
2.676 2.676 2.676 Na
5.793 5.793 2.676 Na
5.793 2.676 5.793 Na
5.499 8.616 5.499 Na
5.499 5.499 8.616 Na
8.616 8.616 8.616 Na
2.676 5.793 5.793 Na
4.234 4.234 4.234 Pt
7.057 7.057 7.057 Pt